{
  "formula": "ZrZnOs2",
  "functional": "PBE",
  "state": "optimized geometry",
  "spacegroup": "I-42d (122)",
  "delta_e_f_ev_per_atom": 0.607,
  "energy_ev_per_cell": -59.7,
  "density_g_cm3": 12.9,
  "lattice_angstrom": [[7.2300, 0.0000, 0.0000], [0.0000, 7.2300, 0.0000], [3.6150, 3.6150, 2.6487]],
  "species": ["Os", "Zn", "Zn", "Zr", "Os", "Os", "Os", "Zr"],
  "frac_coords": [[0.6023, 0.1250, 0.2500], [0.2500, 0.7500, 0.5000], [0.5000, 0.5000, 0.0000], [0.0000, 0.0000, 0.0000], [0.1477, 0.6250, 0.2500], [0.8750, 0.8523, 0.7500], [0.3750, 0.3977, 0.7500], [0.7500, 0.2500, 0.5000]]
}